VASP calculation (PBE) on a relaxed ThTc4N8 crystal.

Cell lengths 5.7995, 5.7995, 6.7707 Å; angles 64.64, 64.64, 60.00 degrees
Closest atoms and distances in Å follow each position.
Fractional coordinates of all 13 atoms:
N1 0.7319 0.7319 0.8042  3 Tc 2.03
Tc1 0.0000 0.0000 0.0000  6 N 2.07
N2 0.7643 0.7643 0.2091  3 Tc 2.07-2.08
Tc2 0.5000 0.0000 0.0000  6 N 2.03-2.08
N3 0.2357 0.2357 0.7909  3 Tc 2.07-2.08
N4 0.2681 0.2681 0.1958  3 Tc 2.03
Tc3 0.5000 0.5000 0.0000  6 N 2.03-2.08
N5 0.2357 0.7378 0.7909  3 Tc 2.07-2.08
N6 0.7378 0.2357 0.7909  3 Tc 2.07-2.08
N7 0.2622 0.7643 0.2091  3 Tc 2.07-2.08
N8 0.7643 0.2622 0.2091  3 Tc 2.07-2.08
Th1 0.5000 0.5000 0.5000  6 N 2.40
Tc4 0.0000 0.5000 0.0000  6 N 2.03-2.08

Summary:
The value obtained for the density is 7.13 Mg/m³. The calculation puts the final energy at -8.916 eV/atom. For the volume, the calculation gives 13.2 Å³ per atom. The calculation puts the uncorrected formation energy at -33 meV/atom.

=====

VASP calculation (PBE) on a relaxed Th3Tc2N6 crystal.

Cell lengths 3.9629, 3.9629, 10.0954 Å; angles 101.32, 101.32, 90.00 degrees
Closest atoms and distances in Å follow each position.
Fractional coordinates of all 11 atoms:
N1 0.2973 0.2973 0.5946  1 Tc 2.21, 1 Th 2.26
Th1 0.1806 0.1806 0.3611  1 N 2.26
N2 0.5871 0.0871 0.1741  2 Tc 1.98
Tc1 0.5886 0.5886 0.1773  5 N 1.98-2.21
N3 0.0871 0.5871 0.1741  2 Tc 1.98
N4 0.9129 0.4129 0.8259  2 Tc 1.98
Tc2 0.4114 0.4114 0.8227  5 N 1.98-2.21
Th2 0.8194 0.8194 0.6389  1 N 2.26
N5 0.4129 0.9129 0.8259  2 Tc 1.98
Th3 0.0000 0.0000 0.0000  8 N 2.60
N6 0.7027 0.7027 0.4054  1 Tc 2.21, 1 Th 2.26

Summary:
The value obtained for the density is 10.64 Mg/m³. The calculation puts the final energy at -9.490 eV/atom. For the volume, the calculation gives 13.8 Å³ per atom. The calculation puts the uncorrected formation energy at -1041 meV/atom.